one:
K2MnNi: optimized geometry, PBE-GGA.

Output
For the density of states at the Fermi level, the calculation gives 0.78 states/eV per atom.

Unit cell a=3.308 b=3.703 c=10.173 alpha=90.00 beta=98.72 gamma=90.00
Space group Pm (No. 6)
Unique sites:
K: 0.000 0.000 0.000 (multiplicity 1)
K: 0.255 0.500 0.584 (multiplicity 1)
Mn: 0.622 0.500 0.277 (multiplicity 1)
Ni: 0.137 0.000 0.310 (multiplicity 1)

=====

two:
K2MnNi: optimized geometry, PBE-GGA.

Output
For the density of states at the Fermi level, the calculation gives 0.49 states/eV per atom.

Unit cell a=4.400 b=4.400 c=5.383 alpha=90.00 beta=90.00 gamma=90.00
Space group P4/mmm (No. 123)
Unique sites:
K: 0.000 0.500 0.000 (multiplicity 2)
Mn: 0.000 0.000 0.500 (multiplicity 1)
Ni: 0.500 0.500 0.500 (multiplicity 1)

=====

three:
K2MnNi: optimized geometry, PBE-GGA.

Output
For the density of states at the Fermi level, the calculation gives 0.47 states/eV per atom.

Unit cell a=3.710 b=5.835 c=11.592 alpha=90.00 beta=90.00 gamma=90.00
Space group Imm2 (No. 44)
Unique sites:
K: 0.000 0.000 0.000 (multiplicity 2)
K: 0.000 0.500 0.196 (multiplicity 2)
Mn: 0.000 0.000 0.388 (multiplicity 2)
Ni: 0.000 0.500 0.767 (multiplicity 2)

=====

four:
K2MnNi: optimized geometry, PBE-GGA.

Output
For the density of states at the Fermi level, the calculation gives 0.43 states/eV per atom.

Unit cell a=20.149 b=3.173 c=3.888 alpha=90.00 beta=101.06 gamma=90.00
Space group C2/m (No. 12)
Unique sites:
K: 0.147 0.000 0.147 (multiplicity 4)
Mn: 0.000 0.000 0.500 (multiplicity 2)
Ni: 0.000 0.500 0.000 (multiplicity 2)

=====

Most stable pick: four. Distance to second place: 0.012 eV/atom.

=====

one:
KMnNi2: optimized geometry, PBE-GGA.

Output
For the density of states at the Fermi level, the calculation gives 0.97 states/eV per atom.

Unit cell a=2.761 b=5.461 c=9.645 alpha=90.00 beta=90.00 gamma=90.00
Space group Immm (No. 71)
Unique sites:
K: 0.000 0.000 0.000 (multiplicity 2)
Mn: 0.000 0.000 0.500 (multiplicity 2)
Ni: 0.000 0.500 0.203 (multiplicity 4)

=====

two:
KMnNi2: optimized geometry, PBE-GGA.

Output
For the density of states at the Fermi level, the calculation gives 0.86 states/eV per atom.

Unit cell a=9.010 b=2.792 c=6.431 alpha=90.00 beta=99.61 gamma=90.00
Space group Cm (No. 8)
Unique sites:
K: 0.000 0.000 0.000 (multiplicity 2)
Mn: 0.296 0.500 0.416 (multiplicity 2)
Ni: 0.019 0.500 0.491 (multiplicity 2)
Ni: 0.216 0.000 0.673 (multiplicity 2)

=====

three:
KMnNi2: optimized geometry, PBE-GGA.

Output
For the density of states at the Fermi level, the calculation gives 0.81 states/eV per atom.

Unit cell a=8.258 b=2.797 c=6.925 alpha=90.00 beta=96.63 gamma=90.00
Space group C2/m (No. 12)
Unique sites:
K: 0.000 0.000 0.000 (multiplicity 2)
Mn: 0.000 0.500 0.500 (multiplicity 2)
Ni: 0.227 0.000 0.636 (multiplicity 4)

=====

four:
KMnNi2: optimized geometry, PBE-GGA.

Output
For the density of states at the Fermi level, the calculation gives 0.55 states/eV per atom.

Unit cell a=6.173 b=7.563 c=2.757 alpha=90.00 beta=90.00 gamma=90.00
Space group Cmmm (No. 65)
Unique sites:
K: 0.000 0.000 0.000 (multiplicity 2)
Mn: 0.000 0.500 0.000 (multiplicity 2)
Ni: 0.250 0.250 0.500 (multiplicity 4)

=====

Most stable pick: three. Distance to second place: 0.050 eV/atom.

=====

one:
KMnNi2: optimized geometry, PBE-GGA.

Output
For the density of states at the Fermi level, the calculation gives 1.42 states/eV per atom.

Unit cell a=2.798 b=3.460 c=7.687 alpha=90.00 beta=90.00 gamma=90.00
Space group Pmm2 (No. 25)
Unique sites:
K: 0.000 0.000 0.000 (multiplicity 1)
Mn: 0.500 0.500 0.379 (multiplicity 1)
Ni: 0.000 0.000 0.536 (multiplicity 1)
Ni: 0.500 0.500 0.684 (multiplicity 1)

=====

two:
KMnNi2: optimized geometry, PBE-GGA.

Output
For the density of states at the Fermi level, the calculation gives 0.88 states/eV per atom.

Unit cell a=2.702 b=5.105 c=10.168 alpha=90.00 beta=90.00 gamma=90.00
Space group Imm2 (No. 44)
Unique sites:
K: 0.000 0.000 0.000 (multiplicity 2)
Mn: 0.000 0.500 0.803 (multiplicity 2)
Ni: 0.000 0.000 0.509 (multiplicity 2)
Ni: 0.000 0.500 0.209 (multiplicity 2)

=====

three:
KMnNi2: optimized geometry, PBE-GGA.

Output
For the density of states at the Fermi level, the calculation gives 0.99 states/eV per atom.

Unit cell a=2.831 b=4.611 c=5.000 alpha=90.00 beta=90.00 gamma=90.00
Space group Pmmm (No. 47)
Unique sites:
K: 0.000 0.000 0.000 (multiplicity 1)
Mn: 0.500 0.000 0.500 (multiplicity 1)
Ni: 0.000 0.500 0.500 (multiplicity 1)
Ni: 0.500 0.500 0.000 (multiplicity 1)

=====

four:
KMnNi2: optimized geometry, PBE-GGA.

Output
For the density of states at the Fermi level, the calculation gives 0.76 states/eV per atom.

Unit cell a=6.449 b=6.449 c=6.449 alpha=90.00 beta=90.00 gamma=90.00
Space group Fm-3m (No. 225)
Unique sites:
K: 0.000 0.000 0.000 (multiplicity 4)
Mn: 0.000 0.000 0.500 (multiplicity 4)
Ni: 0.250 0.250 0.250 (multiplicity 8)

=====

Most stable pick: one. Distance to second place: 0.174 eV/atom.

=====

one:
KMnNi2: optimized geometry, PBE-GGA.

Output
For the density of states at the Fermi level, the calculation gives 0.66 states/eV per atom.

Unit cell a=2.8262 b=2.8262 c=27.8169 alpha=90.00 beta=90.00 gamma=120.00
Space group R-3m (No. 166, hexagonal axes)
Unique sites:
K: 0.0000 0.0000 0.0000 (multiplicity 3)
Mn: 0.0000 0.0000 0.5000 (multiplicity 3)
Ni: 0.0000 0.0000 0.2348 (multiplicity 6)

=====

two:
KMnNi2: optimized geometry, PBE-GGA.

Output
For the density of states at the Fermi level, the calculation gives 1.25 states/eV per atom.

Unit cell a=4.028 b=4.028 c=8.359 alpha=90.00 beta=90.00 gamma=90.00
Space group I-4m2 (No. 119)
Unique sites:
K: 0.000 0.000 0.000 (multiplicity 2)
Mn: 0.000 0.500 0.750 (multiplicity 2)
Ni: 0.000 0.000 0.500 (multiplicity 2)
Ni: 0.000 0.500 0.250 (multiplicity 2)

=====

three:
KMnNi2: optimized geometry, PBE-GGA.

Output
For the density of states at the Fermi level, the calculation gives 0.85 states/eV per atom.

Unit cell a=6.436 b=6.436 c=6.436 alpha=90.00 beta=90.00 gamma=90.00
Space group F-43m (No. 216)
Unique sites:
K: 0.000 0.000 0.000 (multiplicity 4)
Mn: 0.250 0.250 0.250 (multiplicity 4)
Ni: 0.000 0.000 0.500 (multiplicity 4)
Ni: 0.250 0.250 0.750 (multiplicity 4)

=====

four:
KMnNi2: optimized geometry, PBE-GGA.

Output
For the density of states at the Fermi level, the calculation gives 0.68 states/eV per atom.

Unit cell a=4.848 b=4.848 c=2.766 alpha=90.00 beta=90.00 gamma=90.00
Space group P4/mmm (No. 123)
Unique sites:
K: 0.000 0.000 0.000 (multiplicity 1)
Mn: 0.500 0.500 0.000 (multiplicity 1)
Ni: 0.000 0.500 0.500 (multiplicity 2)

=====

Most stable pick: one. Distance to second place: 0.216 eV/atom.

=====

one:
KMn3Ni: optimized geometry, PBE-GGA.

Output
For the density of states at the Fermi level, the calculation gives 0.74 states/eV per atom.

Unit cell a=4.799 b=4.799 c=4.799 alpha=90.00 beta=90.00 gamma=90.00
Space group Pm-3m (No. 221)
Unique sites:
K: 0.000 0.000 0.000 (multiplicity 1)
Mn: 0.000 0.500 0.500 (multiplicity 3)
Ni: 0.500 0.500 0.500 (multiplicity 1)

=====

two:
KMn3Ni: optimized geometry, PBE-GGA.

Output
For the density of states at the Fermi level, the calculation gives 0.74 states/eV per atom.

Unit cell a=4.632 b=4.632 c=4.632 alpha=90.00 beta=90.00 gamma=90.00
Space group Pm-3m (No. 221)
Unique sites:
K: 0.000 0.000 0.000 (multiplicity 1)
Mn: 0.000 0.000 0.500 (multiplicity 3)
Ni: 0.500 0.500 0.500 (multiplicity 1)

=====

Most stable pick: one. Distance to second place: 1.606 eV/atom.